(w)
Computed, not measured: a relaxed PrNdCoCu crystal at the PBE level of DFT.

Calculated values
* density: 7640 kg/m³
* total magnetic moment: 0.34 μB per formula unit
* N(E_F): 17.90 states/eV/cell

a b c (Å): 7.077 7.077 7.077
angles (deg): 90.00 90.00 90.00
Atoms (fractional coordinates):
Pr 0.000 0.000 0.000
Pr 0.000 0.500 0.500
Pr 0.500 0.000 0.500
Pr 0.500 0.500 0.000
Nd 0.000 0.000 0.500
Nd 0.000 0.500 0.000
Nd 0.500 0.000 0.000
Nd 0.500 0.500 0.500
Co 0.250 0.250 0.250
Co 0.250 0.750 0.750
Co 0.750 0.250 0.750
Co 0.750 0.750 0.250
Cu 0.250 0.250 0.750
Cu 0.250 0.750 0.250
Cu 0.750 0.250 0.250
Cu 0.750 0.750 0.750



(x)
Computed, not measured: a relaxed PrNdCoCu crystal at the PBE level of DFT.

Calculated values
* density: 7423 kg/m³
* total magnetic moment: 0.00 μB per formula unit
* N(E_F): 7.45 states/eV/cell

a b c (Å): 4.357 3.938 10.629
angles (deg): 90.00 90.00 90.00
Atoms (fractional coordinates):
Pr 0.000 0.000 0.000
Pr 0.000 0.500 0.500
Nd 0.500 0.000 0.722
Nd 0.500 0.500 0.222
Co 0.000 0.000 0.291
Co 0.000 0.500 0.791
Cu 0.500 0.000 0.426
Cu 0.500 0.500 0.926



Which structure is most stable, and how do the rest compare? From most to least stable: (x), (w).



(w)
Computed, not measured: a relaxed CoCu2Ni2 crystal at the PBE level of DFT.

Calculated values
* density: 8929 kg/m³
* total magnetic moment: 2.86 μB per formula unit
* N(E_F): 4.92 states/eV/cell

a b c (Å): 2.509 2.509 10.346
angles (deg): 90.00 90.00 120.00
Atoms (fractional coordinates):
Co 0.000 0.000 0.000
Cu 0.333 0.667 0.397
Cu 0.667 0.333 0.603
Ni 0.333 0.667 0.806
Ni 0.667 0.333 0.194



(x)
Computed, not measured: a relaxed CoCu2Ni2 crystal at the PBE level of DFT.

Calculated values
* density: 8451 kg/m³
* total magnetic moment: 2.36 μB per formula unit
* N(E_F): 11.78 states/eV/cell

a b c (Å): 6.803 6.803 2.576
angles (deg): 90.00 90.00 90.00
Atoms (fractional coordinates):
Co 0.000 0.000 0.000
Co 0.500 0.500 0.000
Cu 0.172 0.328 0.500
Cu 0.328 0.828 0.500
Cu 0.672 0.172 0.500
Cu 0.828 0.672 0.500
Ni 0.126 0.626 0.000
Ni 0.374 0.126 0.000
Ni 0.626 0.874 0.000
Ni 0.874 0.374 0.000



Which structure is most stable, and how do the rest compare? From most to least stable: (w), (x).



(w)
Computed, not measured: a relaxed CoCu2Ni2 crystal at the PBE level of DFT.

Calculated values
* density: 8474 kg/m³
* total magnetic moment: 2.37 μB per formula unit
* N(E_F): 14.63 states/eV/cell

a b c (Å): 6.811 6.811 2.563
angles (deg): 90.00 90.00 90.00
Atoms (fractional coordinates):
Co 0.000 0.000 0.000
Co 0.500 0.500 0.000
Cu 0.127 0.373 0.000
Cu 0.373 0.873 0.000
Cu 0.627 0.127 0.000
Cu 0.873 0.627 0.000
Ni 0.172 0.672 0.500
Ni 0.328 0.172 0.500
Ni 0.672 0.828 0.500
Ni 0.828 0.328 0.500



(x)
Computed, not measured: a relaxed CoCu2Ni2 crystal at the PBE level of DFT.

Calculated values
* density: 7958 kg/m³
* total magnetic moment: 3.09 μB per formula unit
* N(E_F): 17.56 states/eV/cell

a b c (Å): 3.255 3.255 11.953
angles (deg): 90.00 90.00 90.00
Atoms (fractional coordinates):
Co 0.000 0.000 0.000
Co 0.500 0.500 0.500
Cu 0.000 0.500 0.250
Cu 0.000 0.500 0.750
Cu 0.500 0.000 0.250
Cu 0.500 0.000 0.750
Ni 0.000 0.000 0.404
Ni 0.000 0.000 0.596
Ni 0.500 0.500 0.096
Ni 0.500 0.500 0.904



Which structure is most stable, and how do the rest compare? From most to least stable: (w), (x).



(w)
Computed, not measured: a relaxed Co2CuNi3 crystal at the PBE level of DFT.

Calculated values
* density: 8945 kg/m³
* total magnetic moment: 5.13 μB per formula unit
* N(E_F): 14.79 states/eV/cell

a b c (Å): 4.995 4.995 6.144
angles (deg): 90.00 90.00 120.00
Atoms (fractional coordinates):
Co 0.000 0.000 0.000
Co 0.000 0.500 0.000
Co 0.500 0.000 0.000
Co 0.500 0.500 0.000
Cu 0.333 0.667 0.336
Cu 0.667 0.333 0.664
Ni 0.166 0.331 0.671
Ni 0.166 0.834 0.671
Ni 0.331 0.166 0.329
Ni 0.669 0.834 0.671
Ni 0.834 0.166 0.329
Ni 0.834 0.669 0.329



(x)
Computed, not measured: a relaxed Co2CuNi3 crystal at the PBE level of DFT.

Calculated values
* density: 8965 kg/m³
* total magnetic moment: 5.03 μB per formula unit
* N(E_F): 5.62 states/eV/cell

a b c (Å): 2.489 2.489 10.685
angles (deg): 90.00 90.00 90.00
Atoms (fractional coordinates):
Co 0.000 0.000 0.167
Co 0.000 0.000 0.833
Cu 0.000 0.000 0.500
Ni 0.500 0.500 0.000
Ni 0.500 0.500 0.328
Ni 0.500 0.500 0.672



Which structure is most stable, and how do the rest compare? From most to least stable: (x), (w).



(w)
Computed, not measured: a relaxed CoCu3Ni crystal at the PBE level of DFT.

Calculated values
* density: 6356 kg/m³
* total magnetic moment: 1.71 μB per formula unit
* N(E_F): 5.36 states/eV/cell

a b c (Å): 4.318 4.318 4.318
angles (deg): 90.00 90.00 90.00
Atoms (fractional coordinates):
Co 0.000 0.000 0.000
Cu 0.000 0.000 0.500
Cu 0.000 0.500 0.000
Cu 0.500 0.000 0.000
Ni 0.500 0.500 0.500



(x)
Computed, not measured: a relaxed CoCu3Ni crystal at the PBE level of DFT.

Calculated values
* density: 6334 kg/m³
* total magnetic moment: 2.00 μB per formula unit
* N(E_F): 4.53 states/eV/cell

a b c (Å): 4.323 4.323 4.323
angles (deg): 90.00 90.00 90.00
Atoms (fractional coordinates):
Co 0.000 0.000 0.000
Cu 0.000 0.500 0.500
Cu 0.500 0.000 0.500
Cu 0.500 0.500 0.000
Ni 0.500 0.500 0.500



Which structure is most stable, and how do the rest compare? From most to least stable: (x), (w).